[1]
A relaxed structure of MnTl. Source: Alexandria via LeMat-Bulk, functional PBE-GGA.

## Properties
DFT total energy = -4.597 eV/atom
crystal system = cubic

The structure in extended XYZ format:
```
8
Lattice="-5.2456 0.4187 -3.4849 -1.8585 -5.6473 2.1190 -2.9776 2.7873 4.8167" Properties=species:S:1:pos:R:3 pbc="T T T"
Tl -3.5520 -2.6143 -0.6829
Tl -2.4180 -1.4300 3.4679
Tl -4.1116 1.6030 0.6659
Mn -6.0724 -3.2246 0.1798
Tl 0.0000 0.0000 0.0000
Mn -2.5204 -0.6103 0.8627
Mn -4.9384 -2.0403 4.3306
Mn -6.6320 0.9927 1.5286
```



[2]
A relaxed structure of MnTl3. Source: Alexandria via LeMat-Bulk, functional PBE-GGA.

## Properties
DFT total energy = -3.666 eV/atom
crystal system = tetragonal

The structure in extended XYZ format:
```
4
Lattice="5.8670 -0.0554 0.0000 2.2958 5.3994 0.0000 -4.0814 -2.6720 3.2599" Properties=species:S:1:pos:R:3 pbc="T T T"
Tl 1.1479 2.6997 1.6299
Tl 2.9335 -0.0277 1.6299
Tl 4.0814 2.6720 0.0000
Mn 0.0000 0.0000 0.0000
```



[3]
A relaxed structure of Mn3Tl. Source: Alexandria via LeMat-Bulk, functional PBE-GGA.

## Properties
DFT total energy = -6.866 eV/atom
crystal system = orthorhombic

The structure in extended XYZ format:
```
4
Lattice="4.8348 -0.2901 0.0000 -1.1596 4.7026 0.0000 0.0000 0.0000 2.9707" Properties=species:S:1:pos:R:3 pbc="T T T"
Mn 2.4174 -0.1451 1.4853
Tl 0.0000 0.0000 0.0000
Mn 1.8376 2.2063 0.0000
Mn -0.5798 2.3513 1.4853
```



[4]
A relaxed structure of Mn3Tl. Source: Alexandria via LeMat-Bulk, functional PBE-GGA.

## Properties
DFT total energy = -7.013 eV/atom
crystal system = orthorhombic

The structure in extended XYZ format:
```
4
Lattice="-1.3544 0.1221 -2.7244 0.7908 -2.8716 -0.5218 -4.8804 -4.9229 2.2056" Properties=species:S:1:pos:R:3 pbc="T T T"
Tl -1.6996 -1.8876 -0.9412
Mn -4.5944 -4.8237 2.0679
Mn -3.7444 -5.7848 -0.0993
Mn -2.3308 -3.9964 0.9796
```



[5]
A relaxed structure of Mn5Tl3. Source: Alexandria via LeMat-Bulk, functional PBE-GGA.

## Properties
DFT total energy = -6.078 eV/atom
crystal system = orthorhombic

The structure in extended XYZ format:
```
8
Lattice="3.8946 -4.3231 0.0000 3.8946 4.3231 0.0000 0.0000 0.0000 4.2591" Properties=species:S:1:pos:R:3 pbc="T T T"
Tl 3.8946 0.0000 0.0000
Mn 0.0000 0.0000 0.0000
Tl 3.8946 2.3840 2.1296
Mn 2.0031 0.0000 2.1296
Mn 5.7861 0.0000 2.1296
Mn 1.9473 -2.1615 0.0000
Mn 1.9473 2.1615 0.0000
Tl 3.8946 -2.3840 2.1296
```



[6]
A relaxed structure of Mn4Tl5. Source: Alexandria via LeMat-Bulk, functional PBE-GGA.

## Properties
DFT total energy = -4.884 eV/atom
crystal system = tetragonal

The structure in extended XYZ format:
```
9
Lattice="5.4761 -1.8341 -4.0297 -3.1685 -1.4690 6.1149 -4.9306 -2.9148 -4.0967" Properties=species:S:1:pos:R:3 pbc="T T T"
Tl -0.3419 -1.5884 2.7978
Tl 2.6494 -1.7148 -0.7126
Mn 0.3505 -3.0513 -5.2213
Tl 0.0000 0.0000 0.0000
Mn -2.8953 -1.5671 0.7215
Mn -5.2039 -2.8167 1.2967
Mn 0.1950 -1.6977 -2.9050
Tl -0.1532 -3.2317 -0.0142
Tl -2.4699 -2.9863 -1.9973
```



[7]
A relaxed structure of MnTl3. Source: Alexandria via LeMat-Bulk, functional PBE-GGA.

## Properties
DFT total energy = -3.693 eV/atom
crystal system = orthorhombic

The structure in extended XYZ format:
```
8
Lattice="4.1959 -5.2360 0.0000 4.1959 5.2360 0.0000 0.0000 0.0000 4.7493" Properties=species:S:1:pos:R:3 pbc="T T T"
Tl 4.1959 4.0145 3.5620
Tl 4.1959 -4.0145 1.1873
Mn 4.1959 -1.8372 3.5620
Tl 5.9338 -1.1735 1.1873
Tl 5.9338 1.1735 3.5620
Mn 4.1959 1.8372 1.1873
Tl 2.4580 -1.1735 1.1873
Tl 2.4580 1.1735 3.5620
```



[8]
A relaxed structure of MnTl. Source: Alexandria via LeMat-Bulk, functional PBE-GGA.

## Properties
DFT total energy = -5.062 eV/atom
crystal system = monoclinic

The structure in extended XYZ format:
```
4
Lattice="-1.7029 -2.3755 -1.3863 -0.7732 -1.8070 4.0531 -4.8249 2.0023 2.5019" Properties=species:S:1:pos:R:3 pbc="T T T"
Tl -2.4637 -1.5762 3.8472
Tl -4.8373 -0.6039 1.3215
Mn -5.0670 0.1360 4.1133
Mn -2.2340 -2.3162 1.0554
```



[9]
A relaxed structure of Mn3Tl. Source: Alexandria via LeMat-Bulk, functional PBE-GGA.

## Properties
DFT total energy = -6.869 eV/atom
crystal system = cubic

The structure in extended XYZ format:
```
4
Lattice="-2.3218 -3.6585 0.7698 0.4521 -3.4900 -2.6426 2.0235 -3.6227 1.4660" Properties=species:S:1:pos:R:3 pbc="T T T"
Mn 0.0000 0.0000 0.0000
Mn 0.0769 -5.3856 -0.2034
Tl 0.1154 -8.0784 -0.3051
Mn 0.0385 -2.6928 -0.1017
```



[10]
A relaxed structure of MnTl3. Source: Alexandria via LeMat-Bulk, functional PBE-GGA.

## Properties
DFT total energy = -3.628 eV/atom
crystal system = cubic

The structure in extended XYZ format:
```
4
Lattice="5.3280 0.0000 0.0000 2.6640 4.6142 0.0000 2.6640 1.5381 4.3503" Properties=species:S:1:pos:R:3 pbc="T T T"
Tl 2.6640 1.5381 1.0876
Tl 5.3280 3.0761 2.1752
Mn 0.0000 0.0000 0.0000
Tl 7.9920 4.6142 3.2627
```



[11]
A relaxed structure of Mn4Tl. Source: Alexandria via LeMat-Bulk, functional PBE-GGA.

## Properties
distance to the lowest polymorph of the same formula = 0 meV/atom
crystal system = tetragonal

The structure in extended XYZ format:
```
5
Lattice="1.1713 -0.9600 -4.6792 2.3204 -0.5821 4.2971 -3.5313 -3.3713 0.5940" Properties=species:S:1:pos:R:3 pbc="T T T"
Tl 0.0000 0.0000 0.0000
Mn -1.6476 -3.3467 -1.5493
Mn -0.9213 -2.3791 1.1826
Mn 0.8818 -2.5343 -0.9707
Mn 1.6081 -1.5668 1.7613
```



[12]
A relaxed structure of MnTl. Source: Alexandria via LeMat-Bulk, functional PBE-GGA.

## Properties
DFT total energy = -5.262 eV/atom
crystal system = orthorhombic

The structure in extended XYZ format:
```
8
Lattice="4.5554 0.0000 0.0000 0.0000 5.8056 0.0000 0.0000 0.0000 6.2197" Properties=species:S:1:pos:R:3 pbc="T T T"
Tl 3.4166 0.7941 4.0654
Mn 1.1389 0.7943 5.8700
Mn 3.4166 3.6971 3.4595
Tl 3.4166 2.1087 0.9556
Mn 3.4166 5.0112 0.3497
Tl 1.1389 3.6969 5.2641
Tl 1.1389 5.0114 2.1543
Mn 1.1389 2.1085 2.7602
```



[13]
A relaxed structure of Tm2MnTl. Source: Alexandria via LeMat-Bulk, functional PBE-GGA.

## Properties
DFT total energy = -5.218 eV/atom
crystal system = tetragonal

The structure in extended XYZ format:
```
4
Lattice="-0.2686 -2.4923 -2.5859 3.5912 -0.1512 -0.2272 0.0998 -5.3240 5.1209" Properties=species:S:1:pos:R:3 pbc="T T T"
Tm 0.0226 -1.2070 1.1610
Tm 0.0772 -4.1169 3.9599
Tl 1.7112 -3.9838 1.1539
Mn 1.6613 -1.3218 -1.4066
```



[14]
A relaxed structure of Tm3MnTl. Source: Alexandria via LeMat-Bulk, functional PBE-GGA.

## Properties
DFT total energy = -5.131 eV/atom
crystal system = monoclinic

The structure in extended XYZ format:
```
10
Lattice="3.7463 0.0000 0.0000 0.0000 7.9589 -3.3703 0.0000 -0.4114 8.5582" Properties=species:S:1:pos:R:3 pbc="T T T"
Mn 0.9366 3.0829 6.6396
Tm 2.8097 3.1736 4.2836
Tl 0.9366 1.4191 2.1964
Tm 0.9366 5.8294 5.5970
Tm 2.8097 1.7181 -0.4091
Mn 2.8097 4.4645 -1.4517
Tl 2.8097 6.1283 2.9916
Tm 0.9366 4.3738 0.9043
Tm 2.8097 6.9754 -0.2068
Tm 0.9366 0.5721 5.3947
```



[15]
A relaxed structure of TmMnTl. Source: Alexandria via LeMat-Bulk, functional PBE-GGA.

## Properties
DFT total energy = -5.169 eV/atom
crystal system = monoclinic

The structure in extended XYZ format:
```
6
Lattice="3.3637 0.0000 0.0000 -1.6819 4.2260 3.8557 0.0000 1.7238 10.7078" Properties=species:S:1:pos:R:3 pbc="T T T"
Tm 1.6819 5.4213 12.8804
Tl 0.0000 2.1152 4.4883
Tl 1.6819 3.8346 10.0751
Tm 0.0000 0.5284 1.6830
Mn 0.0000 3.5570 7.5778
Mn 1.6819 2.3927 6.9857
```



[16]
A relaxed structure of YTmMnTl. Source: Alexandria via LeMat-Bulk, functional PBE-GGA.

## Properties
DFT total energy = -5.641 eV/atom
crystal system = cubic

The structure in extended XYZ format:
```
4
Lattice="-2.3438 -0.7789 4.5661 -0.1363 -4.7591 2.0692 2.8271 -1.0782 4.2183" Properties=species:S:1:pos:R:3 pbc="T T T"
Mn 0.2603 -4.9621 8.1402
Tm 0.0000 0.0000 0.0000
Y 0.1735 -3.3081 5.4268
Tl 0.0868 -1.6540 2.7134
```



[17]
A relaxed structure of MnTl2V. Source: Alexandria via LeMat-Bulk, functional PBE-GGA.

## Properties
distance to the lowest polymorph of the same formula = 0 meV/atom
crystal system = cubic

The structure in extended XYZ format:
```
4
Lattice="4.2712 -1.7423 1.4687 2.5674 2.3843 3.3406 0.4640 -1.8305 4.4576" Properties=species:S:1:pos:R:3 pbc="T T T"
V 0.0000 0.0000 0.0000
Tl 5.4770 -0.8914 6.9501
Mn 3.6513 -0.5943 4.6334
Tl 1.8257 -0.2971 2.3167
```



[18]
A relaxed structure of MnTlV2. Source: Alexandria via LeMat-Bulk, functional PBE-GGA.

## Properties
DFT total energy = -6.803 eV/atom
crystal system = tetragonal

The structure in extended XYZ format:
```
8
Lattice="-6.5512 -0.6002 -2.3241 2.3532 -0.2741 -6.5626 -1.9191 -3.0773 -4.2686" Properties=species:S:1:pos:R:3 pbc="T T T"
Tl -5.2847 -2.0573 -5.5180
V -2.8644 -2.6532 -6.9501
Mn -2.0990 -0.4371 -4.4433
Mn -0.8325 -1.8943 -7.6372
V -0.2434 -1.0537 -5.6066
V -5.2619 -3.0556 -10.5611
Tl 0.0000 0.0000 0.0000
V -3.8647 -1.1406 -3.1926
```



[19]
A relaxed structure of MnTl2V. Source: Alexandria via LeMat-Bulk, functional PBE-GGA.

## Properties
distance to the lowest polymorph of the same formula = 137 meV/atom
crystal system = tetragonal

The structure in extended XYZ format:
```
8
Lattice="-6.2816 -1.9587 -3.9607 -0.3312 -6.6561 3.8168 -5.0296 -3.0197 2.0242" Properties=species:S:1:pos:R:3 pbc="T T T"
Mn 0.0000 0.0000 0.0000
V -3.3064 -4.3074 -0.0719
V -4.3336 -6.9916 2.8846
Tl -9.5603 -9.8415 1.4145
Tl -5.2614 -2.8225 -1.5154
Tl -6.2500 -5.4566 1.4420
Mn -7.3088 -4.6429 -1.0042
Tl -2.2130 -5.1484 2.4196
```



[20]
A relaxed structure of MnTl2W. Source: Alexandria via LeMat-Bulk, functional PBE-GGA.

## Properties
distance to the lowest polymorph of the same formula = 375 meV/atom
crystal system = orthorhombic

The structure in extended XYZ format:
```
4
Lattice="-2.5931 0.0798 -1.4114 2.0320 -0.4887 -3.7611 -0.4736 -6.0381 0.5286" Properties=species:S:1:pos:R:3 pbc="T T T"
Tl -0.2371 -3.0222 0.2646
W -0.3990 -1.7139 -2.4541
Mn -0.6358 -4.7330 -2.1897
Tl -0.4734 -6.0349 0.5283
```



[21]
A relaxed structure of MnTl2W. Source: Alexandria via LeMat-Bulk, functional PBE-GGA.

## Properties
distance to the lowest polymorph of the same formula = 319 meV/atom
crystal system = orthorhombic

The structure in extended XYZ format:
```
4
Lattice="-3.0300 0.2408 0.0416 1.3226 -0.6516 -2.6584 -0.7249 -9.4584 1.9577" Properties=species:S:1:pos:R:3 pbc="T T T"
Tl -0.3669 -4.7872 0.9909
Mn -1.3974 -7.2992 0.1599
W -1.0349 -2.5700 -0.8189
Tl -0.7205 -9.4003 1.9457
```



[22]
A relaxed structure of MnTlW2. Source: Alexandria via LeMat-Bulk, functional PBE-GGA.

## Properties
distance to the lowest polymorph of the same formula = 242 meV/atom
crystal system = monoclinic

The structure in extended XYZ format:
```
4
Lattice="-0.9181 -4.3216 -3.1531 -1.0546 -0.3267 5.3143 -2.8047 0.0388 -0.0635" Properties=species:S:1:pos:R:3 pbc="T T T"
Mn -1.8614 -2.1414 -1.6083
W 0.0000 0.0000 0.0000
W -0.9863 -2.3242 1.0806
Tl -1.9296 -0.1440 2.6254
```



[23]
A relaxed structure of MnTl2W. Source: Alexandria via LeMat-Bulk, functional PBE-GGA.

## Properties
distance to the lowest polymorph of the same formula = 389 meV/atom
crystal system = orthorhombic

The structure in extended XYZ format:
```
4
Lattice="-1.7509 -1.1172 -2.2420 4.1547 0.2797 -3.3840 1.3167 -4.5525 1.2403" Properties=species:S:1:pos:R:3 pbc="T T T"
Mn 2.7357 -2.1364 -1.0719
Tl 0.0000 0.0000 0.0000
Tl 1.2019 -0.4187 -2.8130
W -0.2171 -2.8349 -0.5009
```



[24]
A relaxed structure of MnTlW2. Source: Alexandria via LeMat-Bulk, functional PBE-GGA.

## Properties
distance to the lowest polymorph of the same formula = 0 meV/atom
crystal system = orthorhombic

The structure in extended XYZ format:
```
4
Lattice="-0.9633 -0.0654 2.6910 2.8459 -0.2624 -0.0755 0.8385 8.9445 0.5176" Properties=species:S:1:pos:R:3 pbc="T T T"
W 0.0183 0.1950 0.0113
Mn 0.4015 4.2828 0.2479
W 1.1596 2.1652 1.4426
Tl 1.5609 6.4459 1.6903
```



[25]
A relaxed structure of MnTlW2. Source: Alexandria via LeMat-Bulk, functional PBE-GGA.

## Properties
distance to the lowest polymorph of the same formula = 151 meV/atom
crystal system = tetragonal

The structure in extended XYZ format:
```
4
Lattice="4.4138 0.0000 0.0000 0.0000 3.8963 0.0000 0.0000 0.0000 3.8963" Properties=species:S:1:pos:R:3 pbc="T T T"
Tl 2.2069 0.0000 1.9482
Mn 2.2069 1.9482 0.0000
W 0.0000 1.9482 1.9482
W 0.0000 0.0000 0.0000
```



[26]
A relaxed structure of MnTl2W. Source: Alexandria via LeMat-Bulk, functional PBE-GGA.

## Properties
distance to the lowest polymorph of the same formula = 754 meV/atom
crystal system = cubic

The structure in extended XYZ format:
```
4
Lattice="-1.8949 -2.6256 3.3776 -3.1171 -3.3162 -1.0858 1.1607 -4.5167 0.3810" Properties=species:S:1:pos:R:3 pbc="T T T"
Mn 0.0000 0.0000 0.0000
W -1.9257 -5.2293 1.3364
Tl -0.9628 -2.6146 0.6682
Tl -2.8885 -7.8439 2.0047
```



[27]
A relaxed structure of MnTlW2. Source: Alexandria via LeMat-Bulk, functional PBE-GGA.

## Properties
distance to the lowest polymorph of the same formula = 166 meV/atom
crystal system = orthorhombic

The structure in extended XYZ format:
```
4
Lattice="5.2061 -0.0739 -0.0623 2.1493 4.7424 0.0623 -3.1999 -3.0871 2.7100" Properties=species:S:1:pos:R:3 pbc="T T T"
Mn 3.7569 2.3845 0.0000
W 7.2237 4.5848 0.0000
Tl 1.3554 2.0213 1.3861
W 2.8527 -0.4065 1.3238
```



[28]
A relaxed structure of Mn3TlW. Source: Alexandria via LeMat-Bulk, functional PBE-GGA.

## Properties
distance to the lowest polymorph of the same formula = 1598 meV/atom
crystal system = cubic

The structure in extended XYZ format:
```
5
Lattice="-3.8522 -1.4073 -2.0246 2.1491 -3.7574 -1.4773 -1.2087 -2.1956 3.8259" Properties=species:S:1:pos:R:3 pbc="T T T"
W -1.4559 -3.6801 0.1620
Mn 1.0746 -1.8787 -0.7386
Mn -1.9261 -0.7037 -1.0123
Tl 0.0000 0.0000 0.0000
Mn -0.6043 -1.0978 1.9130
```